This record from Alexandria via LeMat-Bulk describes a relaxed structure of K2PbS2. The functional is PBE.

mass density: 3.49 g/cm³
E: -3.722 eV per atom
space-group type: P2_1/c, No. 14
excess energy over the best structure of this formula in the dataset: 0 meV/atom
raw formation energy: -0.890 eV per atom
Fermi-level density of states: 0.00 states/eV/cell

Cell lengths 10.784, 8.122, 7.810 Å; angles 90.00, 103.80, 90.00 degrees
Fractional positions:
K 0.027 0.241 0.010
K 0.027 0.259 0.510
K 0.319 0.655 0.014
K 0.319 0.845 0.514
K 0.681 0.155 0.486
K 0.681 0.345 0.986
K 0.973 0.741 0.490
K 0.973 0.759 0.990
Pb 0.358 0.150 0.940
Pb 0.358 0.350 0.440
Pb 0.642 0.650 0.560
Pb 0.642 0.850 0.060
S 0.147 0.531 0.285
S 0.147 0.969 0.785
S 0.462 0.540 0.720
S 0.462 0.960 0.220
S 0.538 0.040 0.780
S 0.538 0.460 0.280
S 0.853 0.031 0.215
S 0.853 0.469 0.715



This record from Alexandria via LeMat-Bulk describes a relaxed structure of KPb2S2. The functional is PBE.

mass density: 6.30 g/cm³
E: -3.755 eV per atom
space-group type: P4/mbm, No. 127
excess energy over the best structure of this formula in the dataset: 116 meV/atom
raw formation energy: -0.402 eV per atom
Fermi-level density of states: 6.21 states/eV/cell

Cell lengths 8.180, 8.180, 4.081 Å; angles 90.00, 90.00, 90.00 degrees
Fractional positions:
K 0.000 0.000 0.000
K 0.500 0.500 0.000
Pb 0.150 0.350 0.500
Pb 0.350 0.850 0.500
Pb 0.650 0.150 0.500
Pb 0.850 0.650 0.500
S 0.159 0.659 0.000
S 0.341 0.159 0.000
S 0.659 0.841 0.000
S 0.841 0.341 0.000



This record from Alexandria via LeMat-Bulk describes a relaxed structure of K2PbS2. The functional is PBE.

mass density: 4.02 g/cm³
E: -3.524 eV per atom
space-group type: P4/mbm, No. 127
excess energy over the best structure of this formula in the dataset: 197 meV/atom
raw formation energy: -0.693 eV per atom
Fermi-level density of states: 1.06 states/eV/cell

Cell lengths 8.062, 8.062, 4.445 Å; angles 90.00, 90.00, 90.00 degrees
Fractional positions:
K 0.132 0.368 0.000
K 0.368 0.868 0.000
K 0.632 0.132 0.000
K 0.868 0.632 0.000
Pb 0.000 0.000 0.500
Pb 0.500 0.500 0.500
S 0.180 0.680 0.500
S 0.320 0.180 0.500
S 0.680 0.820 0.500
S 0.820 0.320 0.500



This record from Alexandria via LeMat-Bulk describes a relaxed structure of KPb4S5. The functional is PBE.

mass density: 6.30 g/cm³
E: -4.248 eV per atom
space-group type: C2/m, No. 12
raw formation energy: -0.591 eV per atom
Fermi-level density of states: 5.78 states/eV/cell

Cell lengths 7.365, 7.365, 10.492 Å; angles 118.56, 118.56, 33.31 degrees
Fractional positions:
K 0.000 0.000 0.000
Pb 0.203 0.203 0.803
Pb 0.400 0.400 0.600
Pb 0.600 0.600 0.400
Pb 0.797 0.797 0.197
S 0.000 0.000 0.500
S 0.202 0.202 0.316
S 0.389 0.389 0.109
S 0.611 0.611 0.891
S 0.798 0.798 0.684



This record from Alexandria via LeMat-Bulk describes a relaxed structure of KPb2S4. The functional is PBE.

mass density: 4.27 g/cm³
E: -3.388 eV per atom
space-group type: I4/mmm, No. 139
raw formation energy: 0.186 eV per atom
Fermi-level density of states: 8.24 states/eV/cell

Cell lengths 8.322, 8.322, 8.322 Å; angles 141.00, 141.00, 56.34 degrees
Fractional positions:
K 0.000 0.000 0.000
Pb 0.391 0.391 0.000
Pb 0.609 0.609 0.000
S 0.000 0.500 0.500
S 0.217 0.217 0.000
S 0.500 0.000 0.500
S 0.783 0.783 0.000



This record from Alexandria via LeMat-Bulk describes a relaxed structure of KPb2S2. The functional is PBE.

mass density: 5.13 g/cm³
E: -3.786 eV per atom
space-group type: C2/c, No. 15
excess energy over the best structure of this formula in the dataset: 85 meV/atom
raw formation energy: -0.432 eV per atom
Fermi-level density of states: 5.13 states/eV/cell

Cell lengths 7.878, 7.878, 7.510 Å; angles 117.31, 117.31, 96.69 degrees
Fractional positions:
K 0.125 0.875 0.750
K 0.875 0.125 0.250
Pb 0.231 0.481 0.963
Pb 0.481 0.231 0.463
Pb 0.519 0.769 0.537
Pb 0.769 0.519 0.037
S 0.150 0.850 0.250
S 0.399 0.601 0.750
S 0.601 0.399 0.250
S 0.850 0.150 0.750



This record from Alexandria via LeMat-Bulk describes a relaxed structure of K2PbS. The functional is PBE.

mass density: 3.57 g/cm³
E: -2.873 eV per atom
space-group type: I-42d, No. 122
excess energy over the best structure of this formula in the dataset: 0 meV/atom
raw formation energy: -0.365 eV per atom
Fermi-level density of states: 5.61 states/eV/cell

Cell lengths 7.616, 7.616, 7.616 Å; angles 99.09, 99.09, 133.16 degrees
Fractional positions:
K 0.034 0.125 0.409
K 0.375 0.966 0.091
K 0.716 0.625 0.591
K 0.875 0.284 0.909
Pb 0.250 0.750 0.500
Pb 0.500 0.500 0.000
S 0.000 0.000 0.000
S 0.750 0.250 0.500



This record from Alexandria via LeMat-Bulk describes a relaxed structure of K2Pb2S3. The functional is PBE.

mass density: 4.15 g/cm³
E: -3.912 eV per atom
space-group type: C2/c, No. 15
excess energy over the best structure of this formula in the dataset: 11 meV/atom
raw formation energy: -0.770 eV per atom
Fermi-level density of states: 0.00 states/eV/cell

Cell lengths 10.851, 10.851, 9.622 Å; angles 114.00, 114.00, 83.89 degrees
Fractional positions:
K 0.069 0.931 0.750
K 0.223 0.777 0.250
K 0.300 0.465 0.940
K 0.465 0.300 0.440
K 0.535 0.700 0.560
K 0.700 0.535 0.060
K 0.777 0.223 0.750
K 0.931 0.069 0.250
Pb 0.092 0.592 0.431
Pb 0.106 0.264 0.085
Pb 0.264 0.106 0.585
Pb 0.408 0.908 0.069
Pb 0.592 0.092 0.931
Pb 0.736 0.894 0.415
Pb 0.894 0.736 0.915
Pb 0.908 0.408 0.569
S 0.064 0.226 0.700
S 0.078 0.637 0.767
S 0.226 0.064 0.200
S 0.276 0.485 0.272
S 0.363 0.922 0.733
S 0.485 0.276 0.772
S 0.515 0.724 0.228
S 0.637 0.078 0.267
S 0.724 0.515 0.728
S 0.774 0.936 0.800
S 0.922 0.363 0.233
S 0.936 0.774 0.300



This record from Alexandria via LeMat-Bulk describes a relaxed structure of K2Pb2S3. The functional is PBE.

mass density: 4.11 g/cm³
E: -3.922 eV per atom
space-group type: C2/m, No. 12
excess energy over the best structure of this formula in the dataset: 0 meV/atom
raw formation energy: -0.780 eV per atom

Cell lengths 7.665, 7.665, 8.069 Å; angles 104.74, 104.74, 31.32 degrees
Fractional positions:
K 0.126 0.126 0.374
K 0.874 0.874 0.626
Pb 0.368 0.368 0.179
Pb 0.632 0.632 0.821
S 0.241 0.241 0.766
S 0.500 0.500 0.500
S 0.759 0.759 0.234



This record from Alexandria via LeMat-Bulk describes a relaxed structure of KPb3S. The functional is PBE.

mass density: 5.28 g/cm³
E: -2.074 eV per atom
space-group type: Pm-3m, No. 221
excess energy over the best structure of this formula in the dataset: 1217 meV/atom
raw formation energy: 1.196 eV per atom
Fermi-level density of states: 6.33 states/eV/cell

Cell lengths 6.016, 6.016, 6.016 Å; angles 90.00, 90.00, 90.00 degrees
Fractional positions:
K 0.000 0.000 0.000
Pb 0.000 0.000 0.500
Pb 0.000 0.500 0.000
Pb 0.500 0.000 0.000
S 0.500 0.500 0.500



This record from Alexandria via LeMat-Bulk describes a relaxed structure of K2PbS. The functional is PBE.

mass density: 3.98 g/cm³
E: -2.648 eV per atom
space-group type: Fm-3m, No. 225
excess energy over the best structure of this formula in the dataset: 224 meV/atom
raw formation energy: -0.140 eV per atom
Fermi-level density of states: 3.70 states/eV/cell

Cell lengths 5.721, 5.721, 5.721 Å; angles 60.00, 60.00, 60.00 degrees
Fractional positions:
K 0.250 0.250 0.250
K 0.750 0.750 0.750
Pb 0.000 0.000 0.000
S 0.500 0.500 0.500



This record from Alexandria via LeMat-Bulk describes a relaxed structure of KPb2S3. The functional is PBE.

mass density: 5.35 g/cm³
E: -4.046 eV per atom
space-group type: Pmc2_1, No. 26
raw formation energy: -0.563 eV per atom
Fermi-level density of states: 4.02 states/eV/cell

Cell lengths 3.920, 11.397, 7.634 Å; angles 90.00, 90.00, 90.00 degrees
Fractional positions:
K 0.000 0.143 0.000
K 0.000 0.857 0.500
Pb 0.000 0.200 0.502
Pb 0.000 0.800 0.002
Pb 0.500 0.493 0.014
Pb 0.500 0.507 0.514
S 0.000 0.390 0.720
S 0.000 0.610 0.220
S 0.500 0.070 0.664
S 0.500 0.301 0.263
S 0.500 0.699 0.763
S 0.500 0.930 0.164



This record from Alexandria via LeMat-Bulk describes a relaxed structure of KPb3S. The functional is PBE.

mass density: 6.28 g/cm³
E: -3.291 eV per atom
space-group type: Pm-3m, No. 221
excess energy over the best structure of this formula in the dataset: 0 meV/atom
raw formation energy: -0.021 eV per atom
Fermi-level density of states: 3.28 states/eV/cell

Cell lengths 5.679, 5.679, 5.679 Å; angles 90.00, 90.00, 90.00 degrees
Fractional positions:
K 0.000 0.000 0.000
Pb 0.000 0.500 0.500
Pb 0.500 0.000 0.500
Pb 0.500 0.500 0.000
S 0.500 0.500 0.500



This record from Alexandria via LeMat-Bulk describes a relaxed structure of KPb2S. The functional is PBE.

mass density: 6.46 g/cm³
E: -3.409 eV per atom
space-group type: I-42d, No. 122
raw formation energy: -0.248 eV per atom
Fermi-level density of states: 2.75 states/eV/cell

Cell lengths 11.674, 11.674, 11.674 Å; angles 156.66, 156.66, 33.25 degrees
Fractional positions:
K 0.000 0.000 0.000
K 0.750 0.250 0.500
Pb 0.171 0.625 0.046
Pb 0.375 0.421 0.546
Pb 0.579 0.125 0.954
Pb 0.875 0.829 0.454
S 0.250 0.750 0.500
S 0.500 0.500 0.000



This record from Alexandria via LeMat-Bulk describes a relaxed structure of KPb2S2. The functional is PBE.

mass density: 5.46 g/cm³
E: -3.871 eV per atom
space-group type: I4/mmm, No. 139
excess energy over the best structure of this formula in the dataset: 0 meV/atom
raw formation energy: -0.517 eV per atom
Fermi-level density of states: 1.47 states/eV/cell

Cell lengths 6.552, 6.552, 6.552 Å; angles 130.83, 130.83, 72.09 degrees
Fractional positions:
K 0.000 0.000 0.000
Pb 0.341 0.341 0.000
Pb 0.659 0.659 0.000
S 0.250 0.750 0.500
S 0.750 0.250 0.500



This record from Alexandria via LeMat-Bulk describes a relaxed structure of K5Pb2S5. The functional is PBE.

mass density: 3.31 g/cm³
E: -3.674 eV per atom
space-group type: C2/m, No. 12
raw formation energy: -0.879 eV per atom
Fermi-level density of states: 2.08 states/eV/cell

Cell lengths 7.603, 7.603, 12.435 Å; angles 108.24, 108.24, 34.70 degrees
Fractional positions:
K 0.000 0.000 0.000
K 0.160 0.160 0.557
K 0.246 0.246 0.862
K 0.754 0.754 0.138
K 0.840 0.840 0.443
Pb 0.454 0.454 0.705
Pb 0.546 0.546 0.295
S 0.161 0.161 0.291
S 0.396 0.396 0.109
S 0.500 0.500 0.500
S 0.604 0.604 0.891
S 0.839 0.839 0.709



This record from Alexandria via LeMat-Bulk describes a relaxed structure of KSbPb2S4. The functional is PBE.

mass density: 5.56 g/cm³
E: -4.177 eV per atom
space-group type: Imma, No. 74
raw formation energy: -0.534 eV per atom
Fermi-level density of states: 3.56 states/eV/cell

Cell lengths 8.394, 8.394, 8.394 Å; angles 119.80, 119.46, 90.64 degrees
Fractional positions:
K 0.500 0.000 0.000
K 0.500 0.500 0.500
Sb 0.000 0.000 0.000
Sb 0.500 0.000 0.500
Pb 0.000 0.000 0.500
Pb 0.000 0.500 0.000
Pb 0.000 0.500 0.500
Pb 0.500 0.500 0.000
S 0.227 0.237 0.990
S 0.248 0.231 0.483
S 0.248 0.765 0.017
S 0.253 0.763 0.490
S 0.747 0.237 0.510
S 0.752 0.235 0.983
S 0.752 0.769 0.517
S 0.773 0.763 0.010



This record from Alexandria via LeMat-Bulk describes a relaxed structure of K2SbPbS4. The functional is PBE.

mass density: 4.04 g/cm³
E: -3.963 eV per atom
space-group type: Imma, No. 74
raw formation energy: -0.646 eV per atom
Fermi-level density of states: 11.33 states/eV/cell

Cell lengths 8.544, 8.544, 8.544 Å; angles 121.76, 118.50, 89.80 degrees
Fractional positions:
K 0.000 0.000 0.000
K 0.500 0.000 0.000
K 0.500 0.000 0.500
K 0.500 0.500 0.500
Sb 0.000 0.000 0.500
Sb 0.000 0.500 0.000
Pb 0.000 0.500 0.500
Pb 0.500 0.500 0.000
S 0.204 0.747 0.457
S 0.209 0.253 0.957
S 0.219 0.228 0.510
S 0.219 0.709 0.990
S 0.781 0.291 0.010
S 0.781 0.772 0.490
S 0.791 0.747 0.043
S 0.796 0.253 0.543



This record from Alexandria via LeMat-Bulk describes a relaxed structure of KSb2PbS. The functional is PBE.

mass density: 5.26 g/cm³
E: -3.352 eV per atom
space-group type: P4/mmm, No. 123
raw formation energy: 0.083 eV per atom
Fermi-level density of states: 3.25 states/eV/cell

Cell lengths 5.420, 5.420, 5.609 Å; angles 90.00, 90.00, 90.00 degrees
Fractional positions:
K 0.000 0.000 0.000
Sb 0.000 0.500 0.500
Sb 0.500 0.000 0.500
Pb 0.500 0.500 0.000
S 0.500 0.500 0.500



This record from Alexandria via LeMat-Bulk describes a relaxed structure of K2Pb2Se2S. The functional is PBE.

mass density: 4.55 g/cm³
E: -3.716 eV per atom
space-group type: P-1, No. 2
raw formation energy: -0.758 eV per atom

Cell lengths 4.547, 7.947, 8.013 Å; angles 65.02, 89.96, 73.49 degrees
Fractional positions:
K 0.030 0.439 0.252
K 0.970 0.561 0.748
Pb 0.301 0.897 0.229
Pb 0.699 0.103 0.771
Se 0.349 0.803 0.923
Se 0.651 0.197 0.077
S 0.500 0.500 0.500